(1)
4
Lattice="2.086 1.204 6.840 -2.086 1.204 6.840 0.000 -2.408 6.840" Properties=species:S:1:pos:R:3 comment="Np2SbP | the Alexandria database | PBE-GGA | relaxed" polymorph_energy_mev_per_atom=0 density_g_cm3=10.10 final_energy_ev_per_atom=-9.36 spacegroup="No. 166" pbc="T T T"
Np 0.000 0.000 4.902
Np 0.000 0.000 15.619
Sb 0.000 0.000 0.000
P 0.000 0.000 10.260

(2)
10
Lattice="1.833 -5.520 0.000 1.833 5.520 0.000 0.000 0.000 7.363" Properties=species:S:1:pos:R:3 comment="NdSiHRu2 | the Alexandria database | PBE-GGA | relaxed" density_g_cm3=8.37 final_energy_ev_per_atom=-6.89 spacegroup="No. 63" pbc="T T T"
Nd 1.833 4.931 5.523
Nd 1.833 -4.931 1.841
Si 1.833 3.051 1.841
Si 1.833 -3.051 5.523
H 1.833 0.000 0.000
H 1.833 0.000 3.682
Ru 1.833 1.774 4.065
Ru 1.833 1.774 6.980
Ru 1.833 -1.774 0.383
Ru 1.833 -1.774 3.298

(3)
5
Lattice="4.762 0.000 0.000 0.000 4.762 0.000 0.000 0.000 4.762" Properties=species:S:1:pos:R:3 comment="CuTcPd3 | the Alexandria database | PBE-GGA | relaxed" polymorph_energy_mev_per_atom=260 density_g_cm3=7.39 final_energy_ev_per_atom=-4.68 formation_energy_ev_per_atom=1.33 spacegroup="No. 221" pbc="T T T"
Cu 0.000 0.000 0.000
Tc 2.381 2.381 2.381
Pd 0.000 2.381 2.381
Pd 2.381 0.000 2.381
Pd 2.381 2.381 0.000